# 1
Gd3In2NiGeIr2: optimized geometry, GGA-PBE.

Cell and atoms, written as POSCAR:
```
Gd3In2NiGeIr2
1.0
-2.4418 0.3679 2.9473
5.7616 0.4261 4.7202
-2.7852 6.1974 -3.0810
Ge Gd In Ni Ir
1 3 2 1 2
Direct
0.0000 0.2475 0.2475
0.5000 0.0045 0.4076
0.5000 0.4076 0.0045
0.5000 0.5721 0.5721
0.0000 0.9967 0.7519
0.0000 0.7519 0.9967
0.5000 0.0334 0.0334
0.0000 0.3299 0.6565
0.0000 0.6565 0.3299
```

Properties
As for the crystal system: orthorhombic. Its total energy is -5.96 eV per atom.



# 2
ErHfInC: optimized geometry, GGA-PBE.

Cell and atoms, written as POSCAR:
```
ErHfInC
1.0
3.4191 0.0000 0.0000
-1.7095 2.9610 0.0000
0.0000 0.0000 15.5432
Hf Er In C
2 2 2 2
Direct
0.6667 0.3333 0.3389
0.6667 0.3333 0.6611
0.3333 0.6667 0.1729
0.3333 0.6667 0.8271
0.3333 0.6667 0.5000
0.6667 0.3333 0.0000
0.0000 0.0000 0.2675
0.0000 0.0000 0.7325
```

Properties
As for the crystal system: hexagonal. Its energy above the most stable polymorph in this dataset is 0.0 meV/atom.



# 3
GdSiHO4: optimized geometry, GGA-PBE.

Cell and atoms, written as POSCAR:
```
GdSiHO4
1.0
7.7183 0.0000 0.0000
0.0000 8.9627 0.0000
0.0000 0.0000 17.3897
H Gd O Si
16 16 64 16
Direct
0.0605 0.8644 0.9933
0.0605 0.6356 0.4933
0.2962 0.4077 0.2821
0.7962 0.4077 0.2179
0.2962 0.0923 0.7821
0.7962 0.0923 0.7179
0.4395 0.3644 0.9933
0.5605 0.8644 0.5067
0.9395 0.1356 0.0067
0.5605 0.6356 0.0067
0.7038 0.9077 0.2179
0.4395 0.1356 0.4933
0.2038 0.9077 0.2821
0.2038 0.5923 0.7821
0.7038 0.5923 0.7179
0.9395 0.3644 0.5067
0.6179 0.1679 0.8755
0.3821 0.8321 0.1245
0.1357 0.1881 0.3819
0.3643 0.6881 0.3819
0.8821 0.6679 0.8755
0.1357 0.3119 0.8819
0.8643 0.6881 0.1181
0.1179 0.1679 0.6245
0.6357 0.1881 0.1181
0.8643 0.8119 0.6181
0.6357 0.3119 0.6181
0.8821 0.8321 0.3755
0.3643 0.8119 0.8819
0.1179 0.3321 0.1245
0.6179 0.3321 0.3755
0.3821 0.6679 0.6245
0.0763 0.1706 0.0117
0.9237 0.8294 0.9883
0.0937 0.8747 0.1484
0.6588 0.8832 0.0772
0.8412 0.1168 0.5772
0.4212 0.1375 0.3335
0.8662 0.4069 0.9164
0.9237 0.6706 0.4883
0.7247 0.8917 0.5011
0.7247 0.6083 0.0011
0.5937 0.8747 0.3516
0.1763 0.3557 0.2734
0.3662 0.4069 0.5836
0.1763 0.1443 0.7734
0.7753 0.3917 0.5011
0.5763 0.1706 0.4883
0.8662 0.0931 0.4164
0.2247 0.8917 0.9989
0.5604 0.0066 0.2091
0.3237 0.6443 0.7734
0.4396 0.5066 0.2909
0.0788 0.6375 0.3335
0.1588 0.8832 0.4228
0.1338 0.5931 0.0836
0.6763 0.3557 0.2266
0.8237 0.8557 0.2266
0.5604 0.4934 0.7091
0.4237 0.6706 0.0117
0.4063 0.1253 0.6484
0.6338 0.5931 0.4164
0.3662 0.0931 0.0836
0.0788 0.8625 0.8335
0.9396 0.9934 0.7091
0.6588 0.6168 0.5772
0.5937 0.6253 0.8516
0.5763 0.3294 0.9883
0.3412 0.3832 0.4228
0.9063 0.1253 0.8516
0.0604 0.4934 0.7909
0.5788 0.8625 0.6665
0.3237 0.8557 0.2734
0.4237 0.8294 0.5117
0.1338 0.9069 0.5836
0.9212 0.3625 0.6665
0.0937 0.6253 0.6484
0.8412 0.3832 0.0772
0.7753 0.1083 0.0011
0.2247 0.6083 0.4989
0.4212 0.3625 0.8335
0.6338 0.9069 0.9164
0.4396 0.9934 0.7909
0.8237 0.6443 0.7266
0.0604 0.0066 0.2909
0.9396 0.5066 0.2091
0.4063 0.3747 0.1484
0.5788 0.6375 0.1665
0.2753 0.3917 0.9989
0.2753 0.1083 0.4989
0.0763 0.3294 0.5117
0.1588 0.6168 0.9228
0.6763 0.1443 0.7266
0.9063 0.3747 0.3516
0.3412 0.1168 0.9228
0.9212 0.1375 0.1665
0.2440 0.5714 0.0048
0.2560 0.4286 0.5048
0.7560 0.4286 0.9952
0.2440 0.9286 0.5048
0.7440 0.9286 0.9952
0.9813 0.5185 0.7045
0.2560 0.0714 0.0048
0.5187 0.0185 0.7045
0.7560 0.0714 0.4952
0.9813 0.9815 0.2045
0.0187 0.0185 0.7955
0.4813 0.5185 0.7955
0.5187 0.4815 0.2045
0.0187 0.4815 0.2955
0.7440 0.5714 0.4952
0.4813 0.9815 0.2955
```

Properties
As for the crystal system: orthorhombic. Its energy above the most stable polymorph in this dataset is 17.0 meV/atom.



# 4
Ho3Mg3Al2Tl: optimized geometry, GGA-PBE.

Cell and atoms, written as POSCAR:
```
Ho3Mg3Al2Tl
1.0
7.3888 0.0000 0.0000
-3.6944 6.3988 0.0000
0.0000 0.0000 4.5775
Ho Al Mg Tl
3 2 3 1
Direct
0.0000 0.4354 0.0000
0.4354 0.0000 0.0000
0.5646 0.5646 0.0000
0.6667 0.3333 0.5000
0.3333 0.6667 0.5000
0.2481 0.2481 0.5000
0.0000 0.7519 0.5000
0.7519 0.0000 0.5000
0.0000 0.0000 0.0000
```

Properties
As for the crystal system: hexagonal. Its total energy is -3.45 eV per atom.